VASP calculation (PBE) on an optimized crystal structure of Sn.

Lattice parameters (Å, degrees): 12.348 12.348 12.348 90.00 90.00 90.00
Sites, in units of the cell vectors:
Sn: 0.000 0.117 0.308
Sn: 0.000 0.117 0.692
Sn: 0.000 0.250 0.500
Sn: 0.000 0.750 0.500
Sn: 0.000 0.883 0.308
Sn: 0.000 0.883 0.692
Sn: 0.117 0.308 0.000
Sn: 0.117 0.692 0.000
Sn: 0.183 0.183 0.183
Sn: 0.183 0.183 0.817
Sn: 0.183 0.817 0.183
Sn: 0.183 0.817 0.817
Sn: 0.192 0.383 0.500
Sn: 0.192 0.617 0.500
Sn: 0.250 0.500 0.000
Sn: 0.308 0.000 0.117
Sn: 0.308 0.000 0.883
Sn: 0.317 0.317 0.317
Sn: 0.317 0.317 0.683
Sn: 0.317 0.683 0.317
Sn: 0.317 0.683 0.683
Sn: 0.383 0.500 0.192
Sn: 0.383 0.500 0.808
Sn: 0.500 0.000 0.250
Sn: 0.500 0.000 0.750
Sn: 0.500 0.192 0.383
Sn: 0.500 0.192 0.617
Sn: 0.500 0.808 0.383
Sn: 0.500 0.808 0.617
Sn: 0.617 0.500 0.192
Sn: 0.617 0.500 0.808
Sn: 0.683 0.317 0.317
Sn: 0.683 0.317 0.683
Sn: 0.683 0.683 0.317
Sn: 0.683 0.683 0.683
Sn: 0.692 0.000 0.117
Sn: 0.692 0.000 0.883
Sn: 0.750 0.500 0.000
Sn: 0.808 0.383 0.500
Sn: 0.808 0.617 0.500
Sn: 0.817 0.183 0.183
Sn: 0.817 0.183 0.817
Sn: 0.817 0.817 0.183
Sn: 0.817 0.817 0.817
Sn: 0.883 0.308 0.000
Sn: 0.883 0.692 0.000

Calculated values
The value obtained for the uncorrected energy is -3.980 eV per atom. For the energy above the most stable polymorph in this dataset, the calculation gives 23 meV per atom. As for the energy of formation from the pure elements: 23 meV per atom.

=====

VASP calculation (PBE) on an optimized crystal structure of Sn.

Lattice parameters (Å, degrees): 4.646 8.189 13.336 90.00 90.00 90.00
Sites, in units of the cell vectors:
Sn: 0.084 0.173 0.207
Sn: 0.084 0.173 0.793
Sn: 0.250 0.109 0.000
Sn: 0.250 0.609 0.500
Sn: 0.416 0.673 0.293
Sn: 0.416 0.673 0.707
Sn: 0.584 0.327 0.293
Sn: 0.584 0.327 0.707
Sn: 0.750 0.391 0.500
Sn: 0.750 0.891 0.000
Sn: 0.916 0.827 0.207
Sn: 0.916 0.827 0.793

Calculated values
The value obtained for the uncorrected energy is -3.802 eV per atom. For the energy above the most stable polymorph in this dataset, the calculation gives 201 meV per atom. As for the energy of formation from the pure elements: 201 meV per atom.

=====

VASP calculation (PBE) on an optimized crystal structure of Sn.

Lattice parameters (Å, degrees): 3.312 3.312 5.802 90.00 90.00 120.00
Sites, in units of the cell vectors:
Sn: 0.333 0.667 0.250
Sn: 0.667 0.333 0.750

Calculated values
The value obtained for the uncorrected energy is -3.940 eV per atom. For the energy above the most stable polymorph in this dataset, the calculation gives 63 meV per atom. As for the energy of formation from the pure elements: 63 meV per atom.

=====

Which of these has the lowest energy of formation from the pure elements? number 1

=====

What is the energy of formation from the pure elements in the first record? 23 meV per atom

=====

Look up the uncorrected energy of the second one. -3.802 eV per atom